NaNpAu4: optimized geometry, PBE.

Results
ΔE_f: -111 meV/atom
Size of the total moment: 19.87 Bohr magnetons per cell
Total energy: -112.14 eV/cell
Volume: 127 Å³/f.u.

CIF file:
```
data_NaNpAu4
_chemical_formula_sum 'Na4 Np4 Au16'
_cell_length_a 7.977
_cell_length_b 7.977
_cell_length_c 7.977
_cell_angle_alpha 90.00
_cell_angle_beta 90.00
_cell_angle_gamma 90.00
_space_group_name_H-M_alt 'F -4 3 m'
_space_group_IT_number 216
_space_group_name_Hall 'F -4 2 3'
loop_
_atom_site_label
_atom_site_type_symbol
_atom_site_fract_x
_atom_site_fract_y
_atom_site_fract_z
_atom_site_occupancy
Na1 Na 0.000 0.000 0.000 1
Np1 Np 0.250 0.250 0.750 1
Au1 Au 0.125 0.125 0.375 1
```

TmAgPbCl6: optimized geometry, PBE.

Results
Size of the total moment: 0.00 Bohr magnetons per cell
E_form (uncorrected): -1.49 eV per atom
Total energy: -71.04 eV/cell
Volume: 261 Å³/f.u.

CIF file:
```
data_TmAgPbCl6
_chemical_formula_sum 'Tm2 Ag2 Pb2 Cl12'
_cell_length_a 6.8897
_cell_length_b 6.8897
_cell_length_c 12.6872
_cell_angle_alpha 90.00
_cell_angle_beta 90.00
_cell_angle_gamma 120.00
_space_group_name_H-M_alt 'P -3 1 c'
_space_group_IT_number 163
_space_group_name_Hall '-P 3 2c'
loop_
_atom_site_label
_atom_site_type_symbol
_atom_site_fract_x
_atom_site_fract_y
_atom_site_fract_z
_atom_site_occupancy
Tm1 Tm 0.3333 0.6667 0.2500 1
Ag1 Ag 0.3333 0.6667 0.7500 1
Pb1 Pb 0.0000 0.0000 0.0000 1
Cl1 Cl 0.0182 0.3591 0.1312 1
```